No. 1
DFT (GGA-PBE) results for crystalline CuSiRu at its relaxed geometry.

Unit cell a=5.5440 b=5.5440 c=5.5440 alpha=90.00 beta=90.00 gamma=90.00
Space group F-43m (No. 216)
Inequivalent atoms, fractional coordinates:
1 Cu 0.0000 0.0000 0.0000 x4
2 Si 0.2500 0.2500 0.7500 x4
3 Ru 0.0000 0.0000 0.5000 x4

Output
* ΔE_f (raw): -226 meV per atom

---

No. 2
DFT (GGA-PBE) results for crystalline Cu2SiRu at its relaxed geometry.

Unit cell a=4.9154 b=9.1487 c=2.7275 alpha=90.00 beta=122.03 gamma=90.00
Space group C2/m (No. 12)
Inequivalent atoms, fractional coordinates:
1 Cu 0.2500 0.2500 0.0000 x4
2 Si 0.0000 0.0000 0.5000 x2
3 Ru 0.0000 0.5000 0.5000 x2

Output
* ΔE_f (raw): -49 meV per atom

---

No. 3
DFT (GGA-PBE) results for crystalline CuSiRu4 at its relaxed geometry.

Unit cell a=7.1384 b=7.1384 c=7.1384 alpha=90.00 beta=90.00 gamma=90.00
Space group F-43m (No. 216)
Inequivalent atoms, fractional coordinates:
1 Cu 0.0000 0.0000 0.0000 x4
2 Si 0.2500 0.2500 0.2500 x4
3 Ru 0.1249 0.1249 0.6249 x16

Output
* ΔE_f (raw): 710 meV per atom